Computed, not measured: a relaxed structure of VH2Se4 at the GGA-PBE level of DFT.

a b c (Å): 4.6412 4.6412 15.5743
angles (deg): 90.00 90.00 90.00
With the nearest neighbours (Å) after each atom.
Atoms (fractional coordinates):
V 0.0000 0.0000 0.0000  4 Se 2.32
V 0.5000 0.5000 0.5000  4 Se 2.32
H 0.0000 0.0000 0.3402  1 Se 1.49
H 0.0000 0.0000 0.6598  1 Se 1.49
H 0.5000 0.5000 0.1598  1 Se 1.49
H 0.5000 0.5000 0.8402  1 Se 1.49
Se 0.0000 0.0000 0.2445  1 H 1.49
Se 0.0000 0.0000 0.7555  1 H 1.49
Se 0.0000 0.5000 0.0000  2 V 2.32
Se 0.0000 0.5000 0.5000  2 V 2.32
Se 0.5000 0.0000 0.0000  2 V 2.32
Se 0.5000 0.0000 0.5000  2 V 2.32
Se 0.5000 0.5000 0.2555  1 H 1.49
Se 0.5000 0.5000 0.7445  1 H 1.49

Output
Size of the total moment (μB per cell): 3.365
Density (g cm⁻³): 3.7
Fermi-level density of states (states/eV/f.u.): 2.729
Volume (Å³ per cell): 335.48
Total DFT energy (no corrections) (eV per atom): -4.11